DFT (GGA-PBE) results for an optimized crystal structure of TcTeOs2.

POSCAR file:
```
TcTeOs2
1.0
2.9566 0.0000 0.0000
0.0000 2.9566 0.0000
0.0000 0.0000 7.4179
Tc Te Os
1 1 2
direct
0.0000 0.0000 0.0000 Tc
0.5000 0.5000 0.2658 Te
0.0000 0.0000 0.5321 Os
0.5000 0.5000 0.7706 Os
```

Properties
Excess energy over the best structure of this formula in the dataset = 44 meV per atom
N(E_F) = 4.4 states/eV/cell
SG = P4mm, No. 99
Formation energy from raw total energies = 0.62 eV per atom